Entry from the Alexandria database: a relaxed structure of HfCrIrO6 (PBE with a Hubbard U).

Cell lengths 4.6974, 4.6974, 9.3622 Å; angles 90.00, 90.00, 90.00 degrees
Atoms (fractional coordinates):
Ir1 0.5000 0.5000 0.8343
Ir2 0.0000 0.0000 0.3343
Hf1 0.0000 0.0000 0.6650
Hf2 0.5000 0.5000 0.1650
O1 0.7039 0.7039 0.3363
O2 0.3132 0.3132 0.6677
O3 0.8004 0.1996 0.4971
O4 0.1996 0.8004 0.4971
O5 0.2039 0.7961 0.8363
O6 0.3004 0.3004 0.9971
O7 0.2961 0.2961 0.3363
O8 0.6996 0.6996 0.9971
O9 0.7961 0.2039 0.8363
O10 0.1868 0.8132 0.1677
O11 0.6868 0.6868 0.6677
O12 0.8132 0.1868 0.1677
Cr1 0.5000 0.5000 0.4984
Cr2 0.0000 0.0000 0.9984

Summary:
Fermi-level density of states = 0.367 states/eV/atom
calculated total energy = -147.02 eV for the cell shown
space-group type = P4_2nm, No. 102